DFT (SCAN) results for Te2OsIF at its PBEsol-relaxed geometry.

Geometry as POSCAR:
```
Te2OsIF
1.0
5.043 0.000 0.000
0.000 5.043 0.000
0.000 0.000 5.526
Te I F Os
2 1 1 1
Direct
0.500 0.000 0.000
0.000 0.500 0.000
0.000 0.000 0.500
0.500 0.500 0.500
0.000 0.000 0.000
```

Summary:
ΔE_f (raw) = 465 meV per atom
symmetry = No. 123

DFT (SCAN) results for HfGa3 at its PBEsol-relaxed geometry.

Geometry as POSCAR:
```
HfGa3
1.0
3.839 0.000 0.000
0.000 3.839 0.000
-1.920 -1.920 4.472
Ga Hf
3 1
Direct
0.750 0.250 0.500
0.250 0.750 0.500
0.500 0.500 0.000
0.000 0.000 0.000
```

Summary:
DFT formation energy = -0.465 eV/atom
symmetry = No. 139

DFT (SCAN) results for Sm3Co4Ge13 at its PBEsol-relaxed geometry.

Geometry as POSCAR:
```
Sm3Co4Ge13
1.0
-7.382 4.578 0.726
-0.119 -1.553 8.577
4.634 7.254 1.378
Ge Co Sm
26 8 6
Direct
0.000 0.847 0.699
0.000 0.000 0.000
0.000 0.153 0.301
0.000 0.847 0.301
0.199 0.653 0.500
0.301 0.000 0.847
0.153 0.699 0.000
0.699 0.000 0.847
0.347 0.500 0.801
0.847 0.301 0.000
0.301 0.000 0.153
0.199 0.347 0.500
0.699 0.000 0.153
0.347 0.500 0.199
0.847 0.699 0.000
0.500 0.801 0.653
0.500 0.199 0.653
0.801 0.347 0.500
0.801 0.653 0.500
0.000 0.153 0.699
0.653 0.500 0.801
0.500 0.500 0.500
0.653 0.500 0.199
0.500 0.801 0.347
0.153 0.301 0.000
0.500 0.199 0.347
0.750 0.250 0.750
0.250 0.750 0.750
0.250 0.250 0.250
0.750 0.750 0.750
0.750 0.750 0.250
0.750 0.250 0.250
0.250 0.750 0.250
0.250 0.250 0.750
0.250 0.000 0.500
0.500 0.250 0.000
0.500 0.750 0.000
0.000 0.500 0.250
0.750 0.000 0.500
0.000 0.500 0.750
```

Summary:
DFT formation energy = -0.412 eV/atom
symmetry = No. 223

DFT (SCAN) results for CuRe2Ir at its PBEsol-relaxed geometry.

Geometry as POSCAR:
```
CuRe2Ir
1.0
2.714 0.000 0.000
0.000 4.578 0.006
-1.357 -0.789 4.455
Re Ir Cu
2 1 1
Direct
0.756 0.752 0.511
0.244 0.248 0.489
0.500 0.000 0.000
0.000 0.500 0.000
```

Summary:
DFT formation energy = 0.125 eV/atom
symmetry = No. 12

DFT (SCAN) results for LiZrRe2 at its PBEsol-relaxed geometry.

Geometry as POSCAR:
```
LiZrRe2
1.0
-4.202 1.125 0.829
-2.190 -1.921 3.335
-0.993 2.332 3.631
Re Li Zr
2 1 1
Direct
0.750 0.750 0.750
0.000 0.000 0.000
0.500 0.500 0.500
0.250 0.250 0.250
```

Summary:
DFT formation energy = 0.000 eV/atom
symmetry = No. 216

DFT (SCAN) results for NaBeSe2Br at its PBEsol-relaxed geometry.

Geometry as POSCAR:
```
NaBeSe2Br
1.0
5.046 0.000 0.000
0.000 5.046 0.000
0.000 0.000 5.100
Be Na Se Br
1 1 2 1
Direct
0.500 0.500 0.500
0.000 0.000 0.000
0.500 0.000 0.000
0.000 0.500 0.000
0.000 0.000 0.500
```

Summary:
ΔE_f (raw) = 858 meV per atom
symmetry = No. 123

DFT (SCAN) results for Rb2MoO4 at its PBEsol-relaxed geometry.

Geometry as POSCAR:
```
Rb2MoO4
1.0
6.221 0.000 0.000
-3.110 6.366 -0.002
0.000 -3.421 7.032
Mo O Rb
2 8 4
Direct
0.175 0.350 0.223
0.825 0.650 0.777
0.374 0.283 0.079
0.091 0.717 0.921
0.093 0.185 0.356
0.907 0.815 0.644
0.673 0.345 0.629
0.327 0.655 0.371
0.909 0.283 0.079
0.626 0.717 0.921
0.844 0.688 0.252
0.513 0.027 0.238
0.487 0.973 0.762
0.156 0.312 0.748
```

Summary:
ΔE_f (raw) = -2288 meV per atom
symmetry = No. 12

DFT (SCAN) results for Ni10SbP3 at its PBEsol-relaxed geometry.

Geometry as POSCAR:
```
Ni10SbP3
1.0
-3.147 3.944 5.658
-4.359 -4.146 -4.613
1.006 -7.483 5.776
P Ni Sb
9 30 3
Direct
0.164 0.836 0.691
0.000 0.500 0.000
0.164 0.329 0.691
0.329 0.164 0.309
0.500 0.000 0.000
0.836 0.164 0.309
0.836 0.671 0.309
0.500 0.500 0.000
0.671 0.836 0.691
0.137 0.863 0.197
0.492 0.984 0.759
0.338 0.338 0.500
0.667 0.333 0.904
0.662 0.000 0.500
0.000 0.000 0.620
0.137 0.274 0.197
0.508 0.016 0.241
0.338 0.000 0.500
0.333 0.667 0.612
0.508 0.492 0.241
0.863 0.137 0.803
0.189 0.378 0.927
0.492 0.508 0.759
0.016 0.508 0.759
0.622 0.811 0.927
0.811 0.189 0.073
0.189 0.811 0.927
0.000 0.662 0.500
0.863 0.726 0.803
0.000 0.000 0.380
0.726 0.863 0.197
0.667 0.333 0.388
0.662 0.662 0.500
0.378 0.189 0.073
0.000 0.338 0.500
0.984 0.492 0.241
0.333 0.667 0.096
0.274 0.137 0.803
0.811 0.622 0.073
0.667 0.333 0.641
0.000 0.000 0.000
0.333 0.667 0.359
```

Summary:
ΔE_f (raw) = -392 meV per atom
symmetry = No. 164

DFT (SCAN) results for Li2TcBr at its PBEsol-relaxed geometry.

Geometry as POSCAR:
```
Li2TcBr
1.0
3.032 0.000 0.000
0.000 4.482 0.000
-1.516 -2.241 4.680
Li Br Tc
2 1 1
Direct
0.020 0.020 0.040
0.247 0.747 0.493
0.765 0.265 0.529
0.469 0.469 0.938
```

Summary:
ΔE_f (raw) = 334 meV per atom
symmetry = No. 44

> Number 2 is which compound?

HfGa3